The following is a GGA-PBE calculation of crystalline K2Cd4InHg3 at its relaxed geometry, from Alexandria.

Size of the total moment ... 0.00 μB/f.u.
ΔH_f (0 K) ... -127 meV/atom
E ... -10.8 eV/cell
Calculated density ... 6.9 g/cm3
Space-group type ... P-4m2

a = 4.9388 Å, b = 4.9388 Å, c = 12.3255 Å
α = 90.00°, β = 90.00°, γ = 90.00°
Last column: nearest neighbours and their distance in Å.
Fractional positions:
K 0.0000 0.5000 0.2492  6 Hg 3.77-3.94, 8 Cd 3.77-3.96, 2 In 3.94
K 0.5000 0.0000 0.7508  6 Hg 3.77-3.94, 8 Cd 3.77-3.96, 2 In 3.94
Cd 0.0000 0.0000 0.5000  4 Hg 2.98
Cd 0.0000 0.5000 0.8667  3 Hg 2.85-2.97, 2 In 2.97
Cd 0.5000 0.0000 0.1333  3 Hg 2.85-2.97, 2 In 2.97
Cd 0.5000 0.5000 0.5000  4 Hg 2.98
In 0.5000 0.5000 0.0000  4 Cd 2.97
Hg 0.0000 0.0000 0.0000  4 Cd 2.97
Hg 0.0000 0.5000 0.6351  5 Cd 2.85-2.98
Hg 0.5000 0.0000 0.3649  5 Cd 2.85-2.98